! HfTaAu (PBE, optimized geometry); values from VASP
! Polymorph energy (0 for the lowest one), kJ/mol of formula units: 41
! Raw total energy, eV/atom: -8.551
! Spin magnetization, μB/f.u.: 0.00
! ΔH_f (0 K), eV per atom: -0.190
&SYSTEM
  ibrav = 0, nat = 3, ntyp = 3
/
ATOMIC_SPECIES
Ta 180.95 Ta.upf
Au 196.97 Au.upf
Hf 178.49 Hf.upf
CELL_PARAMETERS angstrom
2.980 0.000 0.000
0.000 2.980 0.000
-1.490 -1.490 6.435
ATOMIC_POSITIONS crystal
Ta 0.997 0.997 0.994
Au 0.336 0.336 0.673
Hf 0.667 0.667 0.333


! La2SiMo (PBE, optimized geometry); values from VASP
! Raw total energy, eV/atom: -6.419
! Spin magnetization, μB/f.u.: 1.50
&SYSTEM
  ibrav = 0, nat = 4, ntyp = 3
/
ATOMIC_SPECIES
Si 28.09 Si.upf
Mo 95.94 Mo.upf
La 138.91 La.upf
CELL_PARAMETERS angstrom
4.742 0.022 -0.005
-0.017 4.742 -0.005
0.005 0.005 4.245
ATOMIC_POSITIONS crystal
Si 0.000 0.500 0.500
Mo 0.500 0.000 0.500
La 0.500 0.500 0.000
La 0.000 0.000 0.000


! HfVP2Cl (PBE, optimized geometry); values from VASP
! Polymorph energy (0 for the lowest one), kJ/mol of formula units: 0
! Raw total energy, eV/atom: -6.192
! Spin magnetization, μB/f.u.: 1.37
&SYSTEM
  ibrav = 0, nat = 5, ntyp = 4
/
ATOMIC_SPECIES
Cl 35.45 Cl.upf
P 30.97 P.upf
V 50.94 V.upf
Hf 178.49 Hf.upf
CELL_PARAMETERS angstrom
-3.242 0.474 -3.276
-1.971 -3.961 1.378
-2.531 2.244 2.830
ATOMIC_POSITIONS crystal
Cl 0.000 0.000 0.500
P 0.000 0.500 0.000
P 0.500 0.000 0.000
V 0.000 0.000 0.000
Hf 0.500 0.500 0.500


! LiCdFeHg2 (PBE, optimized geometry); values from VASP
! Raw total energy, eV/atom: -1.518
! Spin magnetization, μB/f.u.: 3.41
! ΔH_f (0 K), eV per atom: 0.861
&SYSTEM
  ibrav = 0, nat = 5, ntyp = 4
/
ATOMIC_SPECIES
Li 6.94 Li.upf
Hg 200.59 Hg.upf
Cd 112.41 Cd.upf
Fe 55.84 Fe.upf
CELL_PARAMETERS angstrom
-1.525 3.390 -3.834
-1.433 -3.773 -2.767
-4.873 0.261 2.169
ATOMIC_POSITIONS crystal
Li 0.000 0.500 0.000
Hg 0.500 0.000 0.000
Cd 0.000 0.000 0.000
Hg 0.000 0.000 0.500
Fe 0.500 0.500 0.500


! Ta3HPb (PBE, optimized geometry); values from VASP
! Polymorph energy (0 for the lowest one), kJ/mol of formula units: 0
! Raw total energy, eV/atom: -8.327
! Spin magnetization, μB/f.u.: 0.00
&SYSTEM
  ibrav = 0, nat = 5, ntyp = 3
/
ATOMIC_SPECIES
H 1.01 H.upf
Ta 180.95 Ta.upf
Pb 207.20 Pb.upf
CELL_PARAMETERS angstrom
4.281 0.000 0.000
0.000 4.281 0.000
0.000 0.000 4.281
ATOMIC_POSITIONS crystal
H 0.000 0.000 0.000
Ta 0.500 0.000 0.000
Ta 0.000 0.500 0.000
Pb 0.500 0.500 0.500
Ta 0.000 0.000 0.500


! Th2MnCo3Ni12 (PBE, optimized geometry); values from VASP
! Raw total energy, eV/atom: -6.138
! Spin magnetization, μB/f.u.: 12.17
! ΔH_f (0 K), eV per atom: 0.234
&SYSTEM
  ibrav = 0, nat = 18, ntyp = 4
/
ATOMIC_SPECIES
Ni 58.69 Ni.upf
Co 58.93 Co.upf
Th 232.04 Th.upf
Mn 54.94 Mn.upf
CELL_PARAMETERS angstrom
-8.336 0.724 -3.457
-6.313 -4.861 -4.299
-8.398 -3.205 1.077
ATOMIC_POSITIONS crystal
Ni 0.928 0.355 0.928
Ni 0.418 0.810 0.418
Co 0.000 0.000 0.500
Ni 0.645 0.072 0.072
Ni 0.582 0.582 0.190
Ni 0.582 0.190 0.582
Ni 0.810 0.418 0.418
Th 0.347 0.347 0.347
Th 0.653 0.653 0.653
Ni 0.072 0.072 0.645
Ni 0.190 0.582 0.582
Ni 0.072 0.645 0.072
Ni 0.418 0.418 0.810
Ni 0.355 0.928 0.928
Mn 0.000 0.000 0.000
Co 0.000 0.500 0.000
Co 0.500 0.000 0.000
Ni 0.928 0.928 0.355


! Pm3Dy6Er (PBE, optimized geometry); values from VASP
! Polymorph energy (0 for the lowest one), kJ/mol of formula units: 0
! Raw total energy, eV/atom: -4.494
! Spin magnetization, μB/f.u.: 0.00
! ΔH_f (0 K), eV per atom: 0.149
&SYSTEM
  ibrav = 0, nat = 20, ntyp = 3
/
ATOMIC_SPECIES
Pm 145.00 Pm.upf
Dy 162.50 Dy.upf
Er 167.26 Er.upf
CELL_PARAMETERS angstrom
-2.240 4.885 3.346
-10.104 -4.035 -0.875
6.300 -2.888 8.433
ATOMIC_POSITIONS crystal
Pm 0.071 0.388 0.612
Dy 0.048 0.712 0.621
Dy 0.868 0.470 0.051
Dy 0.368 0.530 0.949
Pm 0.571 0.612 0.388
Pm 0.962 0.061 0.287
Dy 0.048 0.379 0.288
Pm 0.462 0.939 0.713
Dy 0.868 0.949 0.530
Dy 0.649 0.273 0.727
Dy 0.378 0.960 0.040
Dy 0.548 0.288 0.379
Er 0.131 0.197 0.803
Dy 0.368 0.051 0.470
Er 0.631 0.803 0.197
Dy 0.878 0.040 0.960
Pm 0.962 0.713 0.939
Dy 0.548 0.621 0.712
Dy 0.149 0.727 0.273
Pm 0.462 0.287 0.061


! ReNiPt (PBE, optimized geometry); values from VASP
! Polymorph energy (0 for the lowest one), kJ/mol of formula units: 0
! Raw total energy, eV/atom: -8.174
! Spin magnetization, μB/f.u.: 0.00
! ΔH_f (0 K), eV per atom: -0.084
&SYSTEM
  ibrav = 0, nat = 3, ntyp = 3
/
ATOMIC_SPECIES
Pt 195.08 Pt.upf
Ni 58.69 Ni.upf
Re 186.21 Re.upf
CELL_PARAMETERS angstrom
-0.667 4.032 2.182
1.330 0.437 4.416
1.331 -0.954 -4.333
ATOMIC_POSITIONS crystal
Pt 0.333 0.333 0.000
Ni 0.005 0.005 0.000
Re 0.661 0.661 0.000